[1]
Compound: NpV2Sb
Source: Alexandria
Functional: GGA-PBE
Structure: relaxed

Summary:
V = 70.1 Å³/cell
E above lowest polymorph = 0.00 eV per formula unit
Energy relative to the elements, uncorrected = 0.12 eV per atom
Symmetry = Fm-3m, No. 225

Unit cell a=4.627 b=4.627 c=4.627 alpha=60.00 beta=60.00 gamma=60.00
Fractional positions:
Np 0.000 0.000 0.000
V 0.250 0.250 0.250
V 0.750 0.750 0.750
Sb 0.500 0.500 0.500



[2]
Compound: NpV2Sb
Source: Alexandria
Functional: GGA-PBE
Structure: relaxed

Summary:
V = 70.5 Å³/cell
E above lowest polymorph = 0.43 eV per formula unit
Energy relative to the elements, uncorrected = 0.23 eV per atom
Symmetry = P4/mmm, No. 123

Unit cell a=3.374 b=3.374 c=6.192 alpha=90.00 beta=90.00 gamma=90.00
Fractional positions:
Np 0.000 0.000 0.000
V 0.500 0.500 0.236
V 0.500 0.500 0.764
Sb 0.000 0.000 0.500



[3]
Compound: NpV2Sb
Source: Alexandria
Functional: GGA-PBE
Structure: relaxed

Summary:
V = 69.5 Å³/cell
E above lowest polymorph = 0.01 eV per formula unit
Energy relative to the elements, uncorrected = 0.12 eV per atom
Symmetry = P4/mmm, No. 123

Unit cell a=4.477 b=4.477 c=3.469 alpha=90.00 beta=90.00 gamma=90.00
Fractional positions:
Np 0.000 0.000 0.000
V 0.000 0.500 0.500
V 0.500 0.000 0.500
Sb 0.500 0.500 0.000



[4]
Compound: NpVSb
Source: Alexandria
Functional: GGA-PBE
Structure: relaxed

Summary:
V = 62.3 Å³/cell
E above lowest polymorph = 0.02 eV per formula unit
Energy relative to the elements, uncorrected = 0.17 eV per atom
Symmetry = I4mm, No. 107

Unit cell a=6.028 b=6.028 c=6.028 alpha=147.69 beta=147.69 gamma=46.34
Fractional positions:
Np 0.000 0.000 0.000
V 0.336 0.336 0.000
Sb 0.708 0.708 0.000



[5]
Compound: NpVSb
Source: Alexandria
Functional: GGA-PBE
Structure: relaxed

Summary:
V = 284.3 Å³/cell
E above lowest polymorph = 1.38 eV per formula unit
Energy relative to the elements, uncorrected = 0.62 eV per atom
Symmetry = Cmce, No. 64

Unit cell a=5.792 b=5.792 c=8.524 alpha=90.00 beta=90.00 gamma=83.88
Fractional positions:
Np 0.136 0.864 0.936
Np 0.364 0.636 0.436
Np 0.636 0.364 0.564
Np 0.864 0.136 0.064
V 0.242 0.758 0.668
V 0.258 0.742 0.168
V 0.742 0.258 0.832
V 0.758 0.242 0.332
Sb 0.176 0.176 0.500
Sb 0.324 0.324 0.000
Sb 0.676 0.676 0.000
Sb 0.824 0.824 0.500



[6]
Compound: NpVSb
Source: Alexandria
Functional: GGA-PBE
Structure: relaxed

Summary:
V = 65.3 Å³/cell
E above lowest polymorph = 0.00 eV per formula unit
Energy relative to the elements, uncorrected = 0.16 eV per atom
Symmetry = P-6m2, No. 187

Unit cell a=4.660 b=4.660 c=3.474 alpha=90.00 beta=90.00 gamma=120.00
Fractional positions:
Np 0.000 0.000 0.000
V 0.667 0.333 0.500
Sb 0.333 0.667 0.500



[7]
Compound: Np6VSb10
Source: Alexandria
Functional: GGA-PBE
Structure: relaxed

Summary:
V = 430.1 Å³/cell
Energy relative to the elements, uncorrected = -0.26 eV per atom
Symmetry = P-31m, No. 162

Unit cell a=9.039 b=9.039 c=6.078 alpha=90.00 beta=90.00 gamma=120.00
Fractional positions:
Np 0.000 0.391 0.251
Np 0.000 0.609 0.749
Np 0.391 0.000 0.251
Np 0.391 0.391 0.749
Np 0.609 0.000 0.749
Np 0.609 0.609 0.251
V 0.000 0.000 0.500
Sb 0.000 0.247 0.760
Sb 0.000 0.753 0.240
Sb 0.247 0.000 0.760
Sb 0.247 0.247 0.240
Sb 0.333 0.667 0.000
Sb 0.333 0.667 0.500
Sb 0.667 0.333 0.000
Sb 0.667 0.333 0.500
Sb 0.753 0.000 0.240
Sb 0.753 0.753 0.760



[8]
Compound: NpSb2W
Source: Alexandria
Functional: GGA-PBE
Structure: relaxed

Summary:
V = 90.0 Å³/cell
Energy relative to the elements, uncorrected = 0.41 eV per atom
Symmetry = R-3m, No. 166

Unit cell a=9.781 b=9.781 c=9.781 alpha=19.37 beta=19.37 gamma=19.37
Fractional positions:
Np 0.000 0.000 0.000
Sb 0.238 0.238 0.238
Sb 0.762 0.762 0.762
W 0.500 0.500 0.500